Entry w
Here is an optimized crystal structure of MgTeP2O from Alexandria. Energies are from PBE-GGA.

Cell and atoms, written as POSCAR:
```
MgTeP2O
1.0
5.165 0.000 0.000
0.000 5.165 0.000
0.000 0.000 3.944
Mg Te P O
1 1 2 1
Direct
0.000 0.000 0.000
0.500 0.500 0.500
0.000 0.500 0.500
0.500 0.000 0.500
0.500 0.500 0.000
```

Output
DOS at the Fermi energy   3.0 states/eV/f.u.
Theoretical density   3.63 g/cm³
Volume   105.2 Å³ per cell
Space group   P4/mmm, No. 123

***

Entry x
Here is an optimized crystal structure of MgTeP2O from Alexandria. Energies are from PBE-GGA.

Cell and atoms, written as POSCAR:
```
MgTeP2O
1.0
5.048 0.000 0.000
0.000 5.048 0.000
0.000 0.000 3.682
Mg Te P O
1 1 2 1
Direct
0.000 0.000 0.000
0.500 0.500 0.500
0.000 0.500 0.000
0.500 0.000 0.000
0.000 0.000 0.500
```

Output
DOS at the Fermi energy   3.4 states/eV/f.u.
Theoretical density   4.07 g/cm³
Volume   93.8 Å³ per cell
Space group   P4/mmm, No. 123

***

Most favorable structure: entry x. The second most favorable one is 93 meV/atom above it.

***

Entry w
Here is an optimized crystal structure of MgTePO2 from Alexandria. Energies are from PBE-GGA.

Cell and atoms, written as POSCAR:
```
MgTePO2
1.0
4.013 0.000 0.000
0.000 4.013 0.000
0.000 0.000 5.249
Mg Te P O
1 1 1 2
Direct
0.000 0.000 0.000
0.500 0.500 0.500
0.500 0.500 0.000
0.000 0.500 0.500
0.500 0.000 0.500
```

Output
DOS at the Fermi energy   1.4 states/eV/f.u.
Theoretical density   4.22 g/cm³
Volume   84.5 Å³ per cell
Space group   P4/mmm, No. 123

***

Entry x
Here is an optimized crystal structure of MgTePO2 from Alexandria. Energies are from PBE-GGA.

Cell and atoms, written as POSCAR:
```
MgTePO2
1.0
3.888 0.000 0.000
0.000 3.888 0.000
0.000 0.000 5.729
Mg Te P O
1 1 1 2
Direct
0.000 0.000 0.000
0.500 0.500 0.500
0.000 0.000 0.500
0.000 0.500 0.000
0.500 0.000 0.000
```

Output
DOS at the Fermi energy   2.9 states/eV/f.u.
Theoretical density   4.12 g/cm³
Volume   86.6 Å³ per cell
Space group   P4/mmm, No. 123

***

Most favorable structure: entry w. The second most favorable one is 238 meV/atom above it.